In2GePt PBE-GGA optimized geometry; formation energy = 183 meV per atom; energy = -3.851 eV per atom; size of the total moment = 0.00 μB per formula unit
1.0
-2.9930 2.9930 6.5278
2.9930 -2.9930 6.5278
2.9930 2.9930 -6.5278
In Ge Pt
4 2 2
Cartesian
4.4895 1.4751 -1.6319
1.4751 1.4965 1.6319
-1.4965 1.5179 4.8958
1.5179 1.4965 8.1597
2.9930 0.0000 3.2639
0.0000 0.0000 6.5278
0.0000 0.0000 0.0000
0.0000 2.9930 3.2639

***

NaCeTlGe PBE-GGA optimized geometry; formation energy = -226 meV per atom; energy = -3.786 eV per atom; size of the total moment = 1.05 μB per formula unit
1.0
0.0000 3.7029 3.7029
3.7029 0.0000 3.7029
3.7029 3.7029 0.0000
Na Ce Tl Ge
1 1 1 1
Cartesian
0.0000 0.0000 0.0000
3.7029 3.7029 3.7029
5.5544 5.5544 5.5544
1.8515 1.8515 1.8515

***

K2Sn3GePt4 PBE-GGA optimized geometry; formation energy = -451 meV per atom; energy = -4.749 eV per atom; size of the total moment = 0.00 μB per formula unit
1.0
4.7347 0.0000 0.0000
0.0000 4.7347 0.0000
0.0000 0.0000 10.4898
K Sn Ge Pt
2 3 1 4
Cartesian
0.0000 2.3673 2.6056
2.3673 0.0000 7.8842
0.0000 2.3673 9.1935
2.3673 0.0000 1.2962
2.3673 2.3673 5.2449
0.0000 0.0000 5.2449
0.0000 0.0000 0.0000
0.0000 2.3673 6.4777
2.3673 0.0000 4.0121
2.3673 2.3673 0.0000

***

ZnCuTe2 PBE-GGA optimized geometry; energy = -3.054 eV per atom; size of the total moment = 0.00 μB per formula unit; energy above the lowest structure with this stoichiometry = 83.9 meV per atom
1.0
6.5233 0.0000 0.0000
0.0000 4.2311 0.0000
0.0000 0.0000 16.4387
Zn Cu Te
4 4 8
Cartesian
0.1940 1.0578 1.2230
3.0676 3.1734 9.4424
3.4557 1.0578 6.9964
6.3293 3.1734 15.2157
0.3200 3.1734 2.7093
2.9417 1.0578 10.9287
3.5816 3.1734 5.5100
6.2034 1.0578 13.7294
0.2893 3.1734 12.3933
1.4545 1.0578 8.7998
1.8072 3.1734 0.5805
2.9723 1.0578 4.1739
3.5510 3.1734 12.2648
4.7162 1.0578 15.8582
5.0688 3.1734 7.6389
6.2340 1.0578 4.0454

***

SiRhW2 PBE-GGA optimized geometry; energy = -9.683 eV per atom; size of the total moment = 0.00 μB per formula unit
1.0
2.5833 -4.1356 0.0000
2.5833 4.1356 0.0000
0.0000 0.0000 2.7690
Si Rh W
1 1 2
Cartesian
0.0000 0.0000 0.0000
2.5833 0.0000 0.0000
1.2917 2.0678 1.3845
1.2917 -2.0678 1.3845

***

RbSrPr2Se4 PBE-GGA optimized geometry; energy = -5.058 eV per atom; size of the total moment = 0.00 μB per formula unit
1.0
-4.3844 4.4926 6.2732
4.3844 -4.4926 6.2732
4.3844 4.4926 -6.2732
Rb Sr Pr Se
2 2 4 8
Cartesian
-2.1922 2.2463 3.1366
2.1922 2.2463 3.1366
0.0000 0.0000 0.0000
0.0000 4.4926 0.0000
2.1922 2.2463 -3.1366
2.1922 -2.2463 3.1366
4.3844 0.0000 0.0000
0.0000 0.0000 6.2732
4.3844 -0.2088 3.0668
4.3844 4.2839 -3.0668
2.2584 2.2463 -0.1255
6.5103 2.2463 -0.1255
-2.1260 2.2463 6.3987
2.1260 2.2463 6.3987
0.0000 0.2088 9.3400
0.0000 4.7014 3.2063

***

TaAlPb2 PBE-GGA optimized geometry; formation energy = 618 meV per atom; energy = -5.135 eV per atom; size of the total moment = 0.00 μB per formula unit
1.0
-2.1813 2.1813 4.8243
2.1813 -2.1813 4.8243
2.1813 2.1813 -4.8243
Ta Al Pb
1 1 2
Cartesian
0.0000 0.0000 0.0000
0.0000 0.0000 4.8243
2.1813 0.0000 2.4121
0.0000 2.1813 2.4121

***

Ba2HoMnSe5 PBE-GGA optimized geometry; energy = -5.446 eV per atom; size of the total moment = 4.00 μB per formula unit
1.0
2.1470 -9.3897 0.0000
2.1470 9.3897 0.0000
0.0000 0.0000 13.4024
Ba Ho Mn Se
4 2 2 10
Cartesian
2.1470 7.0617 6.7012
2.1470 7.0271 11.4873
2.1470 -7.0271 4.7861
2.1470 -7.0617 0.0000
2.1470 5.6546 2.6047
2.1470 -5.6546 9.3059
2.1470 1.1258 7.9420
2.1470 -1.1258 1.2408
2.1470 8.6516 2.3924
2.1470 3.6685 11.1727
2.1470 3.5145 7.2900
2.1470 2.9098 2.3908
2.1470 0.0375 5.8301
2.1470 -0.0375 12.5313
2.1470 -2.9098 9.0920
2.1470 -3.5145 0.5888
2.1470 -3.6685 4.4716
2.1470 -8.6516 9.0936